1.
VASP calculation (PBE) on a relaxed structure of Ac3AgPd6Au2.

Calculated values
The calculated formation energy comes out at -0.65 eV/atom. As for the crystal system: trigonal. The density comes out at 11.22 g/cm3. As for the space group: P-3m1.

```
Ac3AgPd6Au2
1.0
5.822 0.000 0.000
-2.911 5.042 0.000
0.000 0.000 9.184
Ac Ag Pd Au
3 1 6 2
Direct
0.000 0.000 0.000
0.333 0.667 0.624
0.667 0.333 0.376
0.000 0.000 0.500
0.174 0.348 0.271
0.174 0.826 0.271
0.348 0.174 0.729
0.652 0.826 0.271
0.826 0.174 0.729
0.826 0.652 0.729
0.333 0.667 0.012
0.667 0.333 0.988
```

2.
VASP calculation (PBE) on a relaxed structure of Ac2AgPtAu.

Calculated values
The calculated formation energy comes out at -0.78 eV/atom. As for the crystal system: monoclinic. The density comes out at 11.45 g/cm3. As for the space group: P2_1/m.

```
Ac2AgPtAu
1.0
7.930 0.000 0.000
0.000 4.501 0.000
-3.157 0.000 7.755
Ac Ag Pt Au
4 2 2 2
Direct
0.029 0.250 0.207
0.367 0.750 0.634
0.633 0.250 0.366
0.971 0.750 0.793
0.351 0.250 0.953
0.649 0.750 0.047
0.092 0.250 0.605
0.908 0.750 0.395
0.320 0.750 0.190
0.680 0.250 0.810
```

3.
VASP calculation (PBE) on a relaxed structure of AcAgPtAu.

Calculated values
The calculated formation energy comes out at -0.53 eV/atom. As for the crystal system: cubic. The density comes out at 12.80 g/cm3. As for the space group: F-43m.

```
AcAgPtAu
1.0
0.000 3.613 3.613
3.613 0.000 3.613
3.613 3.613 0.000
Ac Ag Pt Au
1 1 1 1
Direct
0.000 0.000 0.000
0.500 0.500 0.500
0.750 0.750 0.750
0.250 0.250 0.250
```

4.
VASP calculation (PBE) on a relaxed structure of AcPuAgAu.

Calculated values
The calculated formation energy comes out at -0.29 eV/atom. As for the crystal system: cubic. The density comes out at 11.66 g/cm3. As for the space group: F-43m.

```
AcPuAgAu
1.0
0.000 3.808 3.808
3.808 0.000 3.808
3.808 3.808 0.000
Ac Pu Ag Au
1 1 1 1
Direct
0.000 0.000 0.000
0.500 0.500 0.500
0.750 0.750 0.750
0.250 0.250 0.250
```

5.
VASP calculation (PBE) on a relaxed structure of Ac4AgRh2Au.

Calculated values
The calculated formation energy comes out at -0.44 eV/atom. As for the crystal system: orthorhombic. The density comes out at 9.20 g/cm3. As for the space group: Cmcm.

```
Ac4AgRh2Au
1.0
2.183 -6.747 0.000
2.183 6.747 0.000
0.000 0.000 17.385
Ac Ag Rh Au
8 2 4 2
Direct
0.000 0.000 0.000
0.000 0.000 0.500
0.278 0.722 0.590
0.278 0.722 0.910
0.460 0.540 0.250
0.540 0.460 0.750
0.722 0.278 0.090
0.722 0.278 0.410
0.153 0.847 0.250
0.847 0.153 0.750
0.372 0.628 0.066
0.372 0.628 0.434
0.628 0.372 0.566
0.628 0.372 0.934
0.201 0.799 0.750
0.799 0.201 0.250
```

6.
VASP calculation (PBE) on a relaxed structure of Ac2AgRhAu.

Calculated values
The calculated formation energy comes out at -0.60 eV/atom. As for the crystal system: monoclinic. The density comes out at 10.62 g/cm3. As for the space group: P2_1/m.

```
Ac2AgRhAu
1.0
7.968 0.000 0.000
0.000 4.381 0.000
-3.177 0.000 7.722
Ac Ag Rh Au
4 2 2 2
Direct
0.024 0.250 0.211
0.364 0.750 0.628
0.636 0.250 0.372
0.976 0.750 0.789
0.355 0.250 0.948
0.645 0.750 0.052
0.096 0.250 0.601
0.904 0.750 0.399
0.318 0.750 0.186
0.682 0.250 0.814
```